Record 1
HRuRh | PBE | optimized geometry

The space group is Pnma (No. 62) and the conventional cell measures 4.796, 5.476 and 4.791 Å, with angles of 90.00, 90.00 and 90.00 degrees. Symmetry generates all atoms from H at (0.215, 0.250, 0.214), Ru at (0.000, 0.000, 0.000) and Rh at (0.002, 0.250, 0.520).

Its excess energy over the best structure of this formula in the dataset is 0.092 eV per atom. The value obtained for the volume is 10.5 A^3/atom. The calculation puts the spin magnetization at 0.165 μB/atom.


Record 2
YHg | PBE | optimized geometry

The space group is Cm (No. 8) and the conventional cell measures 12.036, 3.797 and 7.469 Å, with angles of 90.00, 111.07 and 90.00 degrees. Symmetry generates all atoms from Y at (0.000, 0.000, 0.000), Y at (0.028, 0.000, 0.537), Y at (0.213, 0.500, 0.356), Hg at (0.182, 0.500, 0.895), Hg at (0.320, 0.000, 0.701) and Hg at (0.378, 0.000, 0.207).

The calculation puts the energy of formation from the pure elements at -0.338 eV/atom. The value obtained for the volume is 26.5 A^3/atom. The calculation puts the spin magnetization at 0.000 μB/atom.